Compound: BeAu4
Source: Alexandria via LeMat-Bulk
Functional: PBE
Structure: relaxed

Geometry as POSCAR:
```
BeAu4
1.0
5.524 -0.039 0.000
-4.769 2.788 0.000
-0.378 -1.374 5.337
Au Be
4 1
direct
0.430 0.235 0.665
0.765 0.430 0.195
0.570 0.765 0.335
0.235 0.570 0.805
0.000 0.000 0.000
```

Values from the calculation:
E above lowest polymorph = 0.0 meV per atom
Energy = -17.24 eV per cell
Formation energy = -81 meV/atom
Size of the total moment = 0.00 μB per cell
D(E_F) = 1.12 states/eV per cell

Compound: BeAu2
Source: Alexandria via LeMat-Bulk
Functional: PBE
Structure: relaxed

Geometry as POSCAR:
```
BeAu2
1.0
4.269 0.000 0.000
-2.134 3.697 0.000
0.000 0.000 5.720
Au Be
4 2
direct
0.000 0.000 0.500
0.667 0.333 0.750
0.000 0.000 0.000
0.333 0.667 0.250
0.667 0.333 0.250
0.333 0.667 0.750
```

Values from the calculation:
E above lowest polymorph = 95.3 meV per atom
Energy = -20.76 eV per cell
Formation energy = -32 meV/atom
Size of the total moment = 0.00 μB per cell
D(E_F) = 1.55 states/eV per cell